# 1
# Sr2NiSb PBE relaxed
# - ΔE_f (raw): -300.8 meV/atom
# - Space group: Cmmm (65)
# - VASP energy: -14.47 eV/cell
data_Sr2NiSb
_chemical_formula_sum 'Sr2 Ni1 Sb1'
_cell_length_a 5.323
_cell_length_b 5.323
_cell_length_c 4.096
_cell_angle_alpha 90.00
_cell_angle_beta 90.00
_cell_angle_gamma 90.13
_space_group_name_H-M_alt 'P 1'
_space_group_IT_number 1
loop_
_space_group_symop_operation_xyz
'x,y,z'
loop_
_atom_site_label
_atom_site_type_symbol
_atom_site_fract_x
_atom_site_fract_y
_atom_site_fract_z
_atom_site_occupancy
Sr1 Sr 0.000 0.000 0.000 1
Ni1 Ni 0.500 0.000 0.500 1
Sr2 Sr 0.500 0.500 0.000 1
Sb1 Sb 0.000 0.500 0.500 1

***

# 2
# NaZn2C PBE relaxed
# - ΔE_f: 0.52 eV per atom
# - Space group: I4_1/amd (141)
# - VASP energy: -21.99 eV/cell
data_NaZn2C
_chemical_formula_sum 'Na2 Zn4 C2'
_cell_length_a 6.335
_cell_length_b 6.335
_cell_length_c 6.331
_cell_angle_alpha 59.98
_cell_angle_beta 59.98
_cell_angle_gamma 90.00
_space_group_name_H-M_alt 'P 1'
_space_group_IT_number 1
loop_
_space_group_symop_operation_xyz
'x,y,z'
loop_
_atom_site_label
_atom_site_type_symbol
_atom_site_fract_x
_atom_site_fract_y
_atom_site_fract_z
_atom_site_occupancy
Zn1 Zn 0.375 0.625 0.750 1
Na1 Na 0.000 0.000 0.000 1
Na2 Na 0.750 0.250 0.500 1
Zn2 Zn 0.375 0.625 0.250 1
Zn3 Zn 0.875 0.625 0.750 1
Zn4 Zn 0.375 0.125 0.250 1
C1 C 0.500 0.500 0.000 1
C2 C 0.250 0.750 0.500 1

***

# 3
# PrDy5Y5 PBE relaxed
# - ΔE_f: 0.34 eV per atom
# - Space group: P-6m2 (187)
# - Energy relative to the lowest polymorph listed for this composition: 0.048 eV/atom
# - VASP energy: -56.35 eV/cell
data_PrDy5Y5
_chemical_formula_sum 'Pr1 Dy5 Y5'
_cell_length_a 6.095
_cell_length_b 6.095
_cell_length_c 11.676
_cell_angle_alpha 90.00
_cell_angle_beta 90.00
_cell_angle_gamma 120.00
_space_group_name_H-M_alt 'P 1'
_space_group_IT_number 1
loop_
_space_group_symop_operation_xyz
'x,y,z'
loop_
_atom_site_label
_atom_site_type_symbol
_atom_site_fract_x
_atom_site_fract_y
_atom_site_fract_z
_atom_site_occupancy
Dy1 Dy 0.333 0.667 0.676 1
Dy2 Dy 0.667 0.333 0.843 1
Dy3 Dy 0.000 0.000 0.000 1
Dy4 Dy 0.667 0.333 0.157 1
Y1 Y 0.335 0.167 0.500 1
Y2 Y 0.833 0.167 0.500 1
Y3 Y 0.000 0.000 0.738 1
Y4 Y 0.000 0.000 0.262 1
Dy5 Dy 0.333 0.667 0.324 1
Pr1 Pr 0.333 0.667 0.000 1
Y5 Y 0.833 0.665 0.500 1

***

# 4
# ReSiSe2 PBE relaxed
# - ΔE_f (raw): 230.2 meV/atom
# - Space group: P2/m (10)
# - VASP energy: -23.92 eV/cell
data_ReSiSe2
_chemical_formula_sum 'Re1 Si1 Se2'
_cell_length_a 3.417
_cell_length_b 5.325
_cell_length_c 5.726
_cell_angle_alpha 51.68
_cell_angle_beta 90.00
_cell_angle_gamma 90.00
_space_group_name_H-M_alt 'P 1'
_space_group_IT_number 1
loop_
_space_group_symop_operation_xyz
'x,y,z'
loop_
_atom_site_label
_atom_site_type_symbol
_atom_site_fract_x
_atom_site_fract_y
_atom_site_fract_z
_atom_site_occupancy
Si1 Si 0.500 0.250 0.250 1
Se1 Se 0.000 0.553 0.572 1
Re1 Re 0.500 0.750 0.750 1
Se2 Se 0.000 0.947 0.928 1

***

# 5
# Hf4GaGe2 PBE relaxed
# - ΔE_f: -0.31 eV per atom
# - Space group: C2/m (12)
# - VASP energy: -54.24 eV/cell
data_Hf4GaGe2
_chemical_formula_sum 'Hf4 Ga1 Ge2'
_cell_length_a 3.692
_cell_length_b 6.806
_cell_length_c 6.820
_cell_angle_alpha 117.46
_cell_angle_beta 105.70
_cell_angle_gamma 90.00
_space_group_name_H-M_alt 'P 1'
_space_group_IT_number 1
loop_
_space_group_symop_operation_xyz
'x,y,z'
loop_
_atom_site_label
_atom_site_type_symbol
_atom_site_fract_x
_atom_site_fract_y
_atom_site_fract_z
_atom_site_occupancy
Ge1 Ge 0.230 0.213 0.461 1
Hf1 Hf 0.115 0.751 0.229 1
Hf2 Hf 0.620 0.348 0.241 1
Hf3 Hf 0.380 0.652 0.759 1
Ga1 Ga 0.000 0.000 0.000 1
Ge2 Ge 0.770 0.787 0.539 1
Hf4 Hf 0.885 0.249 0.771 1

***

# 6
# ThTcPt PBE relaxed
# - ΔE_f: -0.27 eV per atom
# - Space group: P4/mmm (123)
# - VASP energy: -49.29 eV/cell
data_ThTcPt
_chemical_formula_sum 'Th2 Tc2 Pt2'
_cell_length_a 5.166
_cell_length_b 3.653
_cell_length_c 9.235
_cell_angle_alpha 90.00
_cell_angle_beta 90.00
_cell_angle_gamma 135.01
_space_group_name_H-M_alt 'P 1'
_space_group_IT_number 1
loop_
_space_group_symop_operation_xyz
'x,y,z'
loop_
_atom_site_label
_atom_site_type_symbol
_atom_site_fract_x
_atom_site_fract_y
_atom_site_fract_z
_atom_site_occupancy
Th1 Th 0.194 0.389 0.690 1
Pt1 Pt 0.695 0.389 0.145 1
Tc1 Tc 0.195 0.389 0.000 1
Th2 Th 0.194 0.389 0.310 1
Pt2 Pt 0.695 0.389 0.855 1
Tc2 Tc 0.694 0.388 0.500 1

***

# 7
# SbTePCl2 PBE relaxed
# - ΔE_f (raw): 275.9 meV/atom
# - Space group: P4/mmm (123)
# - Energy relative to the lowest polymorph listed for this composition: 0.000 eV/atom
# - VASP energy: -14.99 eV/cell
data_SbTePCl2
_chemical_formula_sum 'Sb1 Te1 P1 Cl2'
_cell_length_a 5.049
_cell_length_b 5.049
_cell_length_c 5.761
_cell_angle_alpha 90.00
_cell_angle_beta 90.00
_cell_angle_gamma 90.00
_space_group_name_H-M_alt 'P 1'
_space_group_IT_number 1
loop_
_space_group_symop_operation_xyz
'x,y,z'
loop_
_atom_site_label
_atom_site_type_symbol
_atom_site_fract_x
_atom_site_fract_y
_atom_site_fract_z
_atom_site_occupancy
P1 P 0.000 0.000 0.500 1
Sb1 Sb 0.000 0.000 0.000 1
Te1 Te 0.500 0.500 0.500 1
Cl1 Cl 0.000 0.500 0.000 1
Cl2 Cl 0.500 0.000 0.000 1

***

# 8
# AlMoPt2 PBE relaxed
# - ΔE_f: -0.37 eV per atom
# - Space group: C2/m (12)
# - VASP energy: -28.15 eV/cell
data_AlMoPt2
_chemical_formula_sum 'Al1 Mo1 Pt2'
_cell_length_a 4.760
_cell_length_b 4.760
_cell_length_c 4.905
_cell_angle_alpha 79.86
_cell_angle_beta 79.86
_cell_angle_gamma 34.24
_space_group_name_H-M_alt 'P 1'
_space_group_IT_number 1
loop_
_space_group_symop_operation_xyz
'x,y,z'
loop_
_atom_site_label
_atom_site_type_symbol
_atom_site_fract_x
_atom_site_fract_y
_atom_site_fract_z
_atom_site_occupancy
Pt1 Pt 0.993 0.993 0.000 1
Pt2 Pt 0.507 0.507 0.500 1
Al1 Al 0.250 0.250 0.250 1
Mo1 Mo 0.750 0.750 0.750 1